An optimized crystal structure of KSr3Rh, computed with PBE. Values from VASP.

- symmetry = P4mm
- formation energy from the elements (eV/atom) = 0.1693
- energy above the most stable polymorph in this dataset (meV/atom) = 306
- calculated total energy (hartree per atom) = -0.0930

```
&SYSTEM
  ibrav = 0, nat = 5, ntyp = 3
/
ATOMIC_SPECIES
Sr 87.62 Sr.upf
K 39.10 K.upf
Rh 102.91 Rh.upf
ATOMIC_POSITIONS crystal
Sr 0.000 0.000 0.704
Sr 0.500 0.000 0.437
Sr 0.000 0.500 0.437
K 0.000 0.000 0.091
Rh 0.500 0.500 0.594
CELL_PARAMETERS angstrom
4.897 0.000 0.000
0.000 4.897 0.000
0.000 0.000 11.204
```